Entry 1:
DFT (GGA-PBE) results for LiTbSc2Au4 after structural relaxation.

Cell: 4.7628 4.7628 8.5974 Å, 73.92 73.92 60.00°
Atoms (fractional coordinates):
Au1 0.3894 0.3894 0.8319
Au2 0.8761 0.8761 0.3717
Sc1 0.2412 0.2412 0.2765
Tb1 0.0000 0.0000 0.0000
Au3 0.6106 0.6106 0.1681
Li1 0.5000 0.5000 0.5000
Au4 0.1239 0.1239 0.6283
Sc2 0.7588 0.7588 0.7235

Output
energy of formation from the pure elements: -0.7369 eV per atom
space group: No. 166
DOS(E_F): 0.49 states/eV per atom

=====

Entry 2:
DFT (GGA-PBE) results for MnMo2N3 after structural relaxation.

Cell: 5.2765 5.2765 9.7205 Å, 100.53 100.53 109.07°
Site moments in Bohr magnetons follow the coordinates.
Atoms (fractional coordinates):
N1 0.0955 0.1045 0.6733  0.02
N2 0.2226 0.2226 0.0000  0.02
N3 0.0274 0.5274 0.5000  0.02
N4 0.4726 0.9726 0.5000  0.02
Mo1 0.5703 0.5703 0.1405  0.30
Mo2 0.4966 0.9966 0.9932  0.08
N5 0.4312 0.4222 0.3267  0.02
Mn1 0.9121 0.9121 0.8242  3.73
Mo3 0.8203 0.3203 0.6405  0.30
Mo4 0.6797 0.1797 0.3595  0.30
Mo5 0.2466 0.2466 0.4932  0.08
N6 0.7774 0.7774 0.0000  0.02
Mo6 0.4297 0.4297 0.8595  0.30
Mn2 0.1621 0.6621 0.3242  3.73
Mn3 0.3379 0.8379 0.6758  3.73
N7 0.6722 0.1812 0.8267  0.02
Mo7 0.0034 0.5034 0.0068  0.08
N8 0.8955 0.9045 0.3267  0.02
Mn4 0.0879 0.0879 0.1758  3.73
N9 0.8188 0.3278 0.1733  0.02
Mo8 0.7534 0.7534 0.5068  0.08
N10 0.5778 0.5688 0.6733  0.02
N11 0.1545 0.6455 0.8267  0.02
N12 0.3545 0.8455 0.1733  0.02

Output
space group: No. 70
DOS(E_F): 0.45 states/eV per atom
formation energy (no corrections): -0.9 eV/f.u.

=====

Entry 3:
DFT (GGA-PBE) results for CrTc5Ge after structural relaxation.

Cell: 4.9485 4.9485 8.8914 Å, 103.20 103.20 93.61°
Site moments in Bohr magnetons follow the coordinates.
Atoms (fractional coordinates):
Ge1 0.5123 0.4877 0.2500  0.00
Cr1 0.0000 0.0000 0.5000  0.21
Tc1 0.0114 0.3920 0.8481  -0.01
Tc2 0.6080 0.9886 0.6519  -0.01
Tc3 0.3920 0.0114 0.3481  -0.01
Tc4 0.1380 0.8620 0.7500  -0.01
Tc5 0.9886 0.6080 0.1519  -0.01
Tc6 0.4506 0.7686 0.0415  -0.01
Tc7 0.8620 0.1380 0.2500  -0.01
Ge2 0.4877 0.5123 0.7500  0.00
Cr2 0.0000 0.0000 0.0000  0.21
Tc8 0.5494 0.2314 0.9585  -0.01
Tc9 0.2314 0.5494 0.4585  -0.01
Tc10 0.7686 0.4506 0.5415  -0.01

Output
energy of formation from the pure elements: 0.1404 eV per atom
space group: No. 15
DOS(E_F): 0.98 states/eV per atom

=====

Entry 4:
DFT (GGA-PBE) results for P3Pb after structural relaxation.

Cell: 7.4334 7.4334 6.6940 Å, 90.00 90.00 120.00°
Atoms (fractional coordinates):
Pb1 0.0000 0.0000 0.0000
P1 0.0000 0.5000 0.5000
P2 0.6003 0.8002 0.7500
P3 0.1998 0.3997 0.7500
P4 0.5000 0.5000 0.0000
Pb2 0.0000 0.0000 0.5000
P5 0.8002 0.6003 0.2500
P6 0.5000 0.5000 0.5000
Pb3 0.3333 0.6667 0.2500
P7 0.5000 0.0000 0.5000
P8 0.0000 0.5000 0.0000
P9 0.1998 0.8002 0.7500
P10 0.8002 0.1998 0.2500
P11 0.5000 0.0000 0.0000
P12 0.3997 0.1998 0.2500
Pb4 0.6667 0.3333 0.7500

Output
energy of formation from the pure elements: 0.4111 eV per atom
space group: No. 194
DOS(E_F): 0.30 states/eV per atom